(1)
VASP calculation (PBE-GGA) on a relaxed TlTcGeO6 crystal.

Results
space-group type: P312, No. 149

Unit cell a=5.1834 b=5.1834 c=5.3270 alpha=90.00 beta=90.00 gamma=120.00
With the nearest neighbours (Å) after each atom.
Positions (direct):
Tl1 0.0000 0.0000 0.0000  6 O 2.58
Tc1 0.6667 0.3333 0.5000  6 O 1.92
Ge1 0.3333 0.6667 0.5000  6 O 1.93
O1 0.3923 0.0006 0.7019  1 Tc 1.92, 1 Ge 1.93
O2 0.3923 0.3916 0.2981  1 Tc 1.92, 1 Ge 1.93
O3 0.6084 0.0006 0.2981  1 Tc 1.92, 1 Ge 1.93
O4 0.6084 0.6077 0.7019  1 Tc 1.92, 1 Ge 1.93
O5 0.9994 0.3916 0.7019  1 Tc 1.92, 1 Ge 1.93
O6 0.9994 0.6077 0.2981  1 Tc 1.92, 1 Ge 1.93

---

(2)
VASP calculation (PBE-GGA) on a relaxed TlTc2GeO8 crystal.

Results
space-group type: R32, No. 155

Unit cell a=9.3688 b=9.3688 c=9.3688 alpha=33.20 beta=33.20 gamma=33.20
With the nearest neighbours (Å) after each atom.
Positions (direct):
Tl1 0.0000 0.0000 0.0000  6 O 3.15
Tc1 0.2438 0.2438 0.2438  4 O 1.76-1.77
Tc2 0.7562 0.7562 0.7562  4 O 1.76-1.77
Ge1 0.5000 0.5000 0.5000  6 O 2.27
O1 0.1030 0.4804 0.7529  1 Tc 1.77
O2 0.2471 0.5196 0.8970  1 Tc 1.77
O3 0.3100 0.3100 0.3100  1 Tc 1.76
O4 0.4804 0.7529 0.1030  1 Tc 1.77
O5 0.5196 0.8970 0.2471  1 Tc 1.77
O6 0.6900 0.6900 0.6900  1 Tc 1.76
O7 0.7529 0.1030 0.4804  1 Tc 1.77
O8 0.8970 0.2471 0.5196  1 Tc 1.77

---

(3)
VASP calculation (PBE-GGA) on a relaxed ZnTcGeO6 crystal.

Results
space-group type: P-31c, No. 163

Unit cell a=5.0424 b=5.0424 c=9.0027 alpha=90.00 beta=90.00 gamma=120.00
With the nearest neighbours (Å) after each atom.
Positions (direct):
Zn1 0.0000 0.0000 0.0000  6 O 2.17
Zn2 0.0000 0.0000 0.5000  6 O 2.17
Tc1 0.3333 0.6667 0.2500  6 O 1.94
Tc2 0.6667 0.3333 0.7500  6 O 1.94
Ge1 0.3333 0.6667 0.7500  6 O 1.92
Ge2 0.6667 0.3333 0.2500  6 O 1.92
O1 0.0028 0.3585 0.6346  1 Ge 1.92, 1 Tc 1.94
O2 0.0028 0.6443 0.8654  1 Ge 1.92, 1 Tc 1.94
O3 0.3557 0.3585 0.8654  1 Ge 1.92, 1 Tc 1.94
O4 0.3557 0.9972 0.6346  1 Ge 1.92, 1 Tc 1.94
O5 0.3585 0.0028 0.1346  1 Ge 1.92, 1 Tc 1.94
O6 0.3585 0.3557 0.3654  1 Ge 1.92, 1 Tc 1.94
O7 0.6415 0.6443 0.6346  1 Ge 1.92, 1 Tc 1.94
O8 0.6415 0.9972 0.8654  1 Ge 1.92, 1 Tc 1.94
O9 0.6443 0.0028 0.3654  1 Ge 1.92, 1 Tc 1.94
O10 0.6443 0.6415 0.1346  1 Ge 1.92, 1 Tc 1.94
O11 0.9972 0.3557 0.1346  1 Ge 1.92, 1 Tc 1.94
O12 0.9972 0.6415 0.3654  1 Ge 1.92, 1 Tc 1.94

---

| no. | calculated total energy (eV per atom) | formation energy from raw total energies (eV per atom) | V (Å³ per cell) |
| --- | --- | --- | --- |
| 1 | -6.45 | -1.2203 | 124 |
| 2 | -6.82 | -1.2008 | 219 |
| 3 | -6.43 | -1.3141 | 198 |